No. 1
# PBE-GGA Ta2MoBr, optimized geometry
data_Ta2MoBr
_chemical_formula_sum 'Ta8 Mo4 Br4'
_space_group_name_H-M_alt 'F m -3 m'
_space_group_IT_number 225
_space_group_name_Hall '-F 4 2 3'
_cell_length_a 6.5898
_cell_length_b 6.5898
_cell_length_c 6.5898
_cell_angle_alpha 90.00
_cell_angle_beta 90.00
_cell_angle_gamma 90.00
loop_
_atom_site_label
_atom_site_fract_x
_atom_site_fract_y
_atom_site_fract_z
Ta1 0.2500 0.2500 0.2500
Mo1 0.0000 0.0000 0.0000
Br1 0.0000 0.0000 0.5000
# DOS at the Fermi energy   5.707 states/eV/f.u.
# Energy relative to the elements, uncorrected   828 meV per atom
# E above lowest polymorph   0.554 eV per atom
# ρ   12.5 g cm⁻³

No. 2
# PBE-GGA TaMoBr2, optimized geometry
data_TaMoBr2
_chemical_formula_sum 'Ta1 Mo1 Br2'
_space_group_name_H-M_alt 'P 4/m m m'
_space_group_IT_number 123
_space_group_name_Hall '-P 4 2'
_cell_length_a 4.5762
_cell_length_b 4.5762
_cell_length_c 3.2687
_cell_angle_alpha 90.00
_cell_angle_beta 90.00
_cell_angle_gamma 90.00
loop_
_atom_site_label
_atom_site_fract_x
_atom_site_fract_y
_atom_site_fract_z
Ta1 0.0000 0.0000 0.0000
Mo1 0.5000 0.5000 0.0000
Br1 0.0000 0.5000 0.5000
# DOS at the Fermi energy   4.277 states/eV/f.u.
# Energy relative to the elements, uncorrected   1038 meV per atom
# E above lowest polymorph   1.166 eV per atom
# ρ   10.6 g cm⁻³

No. 3
# PBE-GGA TaMo2Br, optimized geometry
data_TaMo2Br
_chemical_formula_sum 'Ta1 Mo2 Br1'
_space_group_name_H-M_alt 'P 4/m m m'
_space_group_IT_number 123
_space_group_name_Hall '-P 4 2'
_cell_length_a 3.5034
_cell_length_b 3.5034
_cell_length_c 6.5684
_cell_angle_alpha 90.00
_cell_angle_beta 90.00
_cell_angle_gamma 90.00
loop_
_atom_site_label
_atom_site_fract_x
_atom_site_fract_y
_atom_site_fract_z
Ta1 0.0000 0.0000 0.0000
Mo1 0.5000 0.5000 0.1811
Br1 0.0000 0.0000 0.5000
# DOS at the Fermi energy   2.078 states/eV/f.u.
# Energy relative to the elements, uncorrected   469 meV per atom
# E above lowest polymorph   0.113 eV per atom
# ρ   9.3 g cm⁻³

No. 4
# PBE-GGA TaMoBr, optimized geometry
data_TaMoBr
_chemical_formula_sum 'Ta4 Mo4 Br4'
_space_group_name_H-M_alt 'F m m 2'
_space_group_IT_number 42
_space_group_name_Hall 'F 2 -2'
_cell_length_a 3.3868
_cell_length_b 5.2547
_cell_length_c 13.5002
_cell_angle_alpha 90.00
_cell_angle_beta 90.00
_cell_angle_gamma 90.00
loop_
_atom_site_label
_atom_site_fract_x
_atom_site_fract_y
_atom_site_fract_z
Ta1 0.0000 0.0000 0.0000
Mo1 0.0000 0.0000 0.6383
Br1 0.0000 0.0000 0.3317
# DOS at the Fermi energy   1.629 states/eV/f.u.
# Energy relative to the elements, uncorrected   420 meV per atom
# E above lowest polymorph   0.000 eV per atom
# ρ   9.9 g cm⁻³

Number 1: E_tot -8.224 eV/atom. Number 2: E_tot -5.470 eV/atom. Number 3: E_tot -8.328 eV/atom. Number 4: E_tot -7.699 eV/atom.